LiTl2Cl2 PBE relaxed; D(E_F) = 3.49 states/eV/cell; energy relative to the elements, uncorrected = -0.913 eV per atom; symmetry = P4/mbm (127); spin magnetization = 0.000 μB per formula unit; electronic total energy = -2.9812 eV/atom
1.0
6.849 0.000 0.000
0.000 6.849 0.000
0.000 0.000 5.629
Li Tl Cl
2 4 4
direct
0.000 0.000 0.000
0.500 0.500 0.000
0.181 0.319 0.500
0.319 0.819 0.500
0.681 0.181 0.500
0.819 0.681 0.500
0.188 0.688 0.000
0.312 0.188 0.000
0.688 0.812 0.000
0.812 0.312 0.000